Cs3Ca2CeSe6 (PBE-GGA, optimized geometry); spin magnetization = 0.00 μB per cell; symmetry = C2/m; total DFT energy (no corrections) = -4.286 eV per atom; energy relative to the elements, uncorrected = -1.503 eV/atom
1.0
3.814 -6.602 0.000
3.814 6.602 0.000
-2.532 0.000 8.286
Cs Ca Ce Se
3 2 1 6
Direct
0.000 0.000 0.000 Cs
0.329 0.671 0.000 Cs
0.671 0.329 0.000 Cs
0.166 0.834 0.500 Ca
0.834 0.166 0.500 Ca
0.500 0.500 0.500 Ce
0.117 0.439 0.315 Se
0.242 0.242 0.687 Se
0.439 0.117 0.315 Se
0.561 0.883 0.685 Se
0.758 0.758 0.313 Se
0.883 0.561 0.685 Se